This record from Alexandria describes crystalline CsSn2Sb2 at its relaxed geometry. The functional is GGA-PBEsol.

## Properties
* E_form (uncorrected): -0.1693 eV/atom
* density of states at the Fermi level: 5.62 states/eV/cell
* crystal system: tetragonal
* electronic total energy: -3.884 eV/atom

Structure (CIF):
```
data_CsSn2Sb2
_chemical_formula_sum 'Cs2 Sn4 Sb4'
_symmetry_space_group_name_H-M 'I 4/m m m'
_symmetry_Int_Tables_number 139
_symmetry_space_group_name_Hall '-I 4 2'
_cell_length_a 5.544
_cell_length_b 5.544
_cell_length_c 11.133
_cell_angle_alpha 90.00
_cell_angle_beta 90.00
_cell_angle_gamma 90.00
loop_
_atom_site_label
_atom_site_type_symbol
_atom_site_fract_x
_atom_site_fract_y
_atom_site_fract_z
Cs1 Cs 0.000 0.000 0.000
Sn1 Sn 0.000 0.000 0.359
Sb1 Sb 0.000 0.500 0.250
```